Record 1
This record from the Alexandria database describes a geometry-optimized Dy4AlGa12 structure. The functional is PBE.

Output
ΔE_f, eV per formula unit: -8.19

Structure (CIF):
```
data_Dy4AlGa12
_chemical_formula_sum 'Dy8 Al2 Ga24'
_cell_length_a 8.721
_cell_length_b 8.721
_cell_length_c 8.721
_cell_angle_alpha 90.00
_cell_angle_beta 90.00
_cell_angle_gamma 90.00
_symmetry_space_group_name_H-M 'I m -3 m'
_symmetry_Int_Tables_number 229
_symmetry_space_group_name_Hall '-I 4 2 3'
loop_
_atom_site_label
_atom_site_type_symbol
_atom_site_fract_x
_atom_site_fract_y
_atom_site_fract_z
_atom_site_occupancy
Dy1 Dy 0.250 0.250 0.250 1
Al1 Al 0.000 0.000 0.000 1
Ga1 Ga 0.000 0.000 0.305 1
Ga2 Ga 0.000 0.250 0.500 1
```

=====

Record 2
This record from the Alexandria database describes a geometry-optimized HgIr2C structure. The functional is PBE.

Output
ΔE_f, eV per formula unit: 2.12

Structure (CIF):
```
data_HgIr2C
_chemical_formula_sum 'Hg4 Ir8 C4'
_cell_length_a 6.456
_cell_length_b 6.456
_cell_length_c 5.965
_cell_angle_alpha 90.00
_cell_angle_beta 90.00
_cell_angle_gamma 90.00
_symmetry_space_group_name_H-M 'I -4 2 d'
_symmetry_Int_Tables_number 122
_symmetry_space_group_name_Hall 'I -4 2bw'
loop_
_atom_site_label
_atom_site_type_symbol
_atom_site_fract_x
_atom_site_fract_y
_atom_site_fract_z
_atom_site_occupancy
Hg1 Hg 0.000 0.000 0.000 1
Ir1 Ir 0.132 0.250 0.625 1
C1 C 0.000 0.000 0.500 1
```

=====

Record 3
This record from the Alexandria database describes a geometry-optimized Sm2Zn2SbPd5 structure. The functional is PBE.

Output
Formation energy from raw total energies, meV/atom: -681

Structure (CIF):
```
data_Sm2Zn2SbPd5
_chemical_formula_sum 'Sm4 Zn4 Sb2 Pd10'
_cell_length_a 9.784
_cell_length_b 9.784
_cell_length_c 3.917
_cell_angle_alpha 90.00
_cell_angle_beta 90.00
_cell_angle_gamma 90.00
_symmetry_space_group_name_H-M 'P 4/m b m'
_symmetry_Int_Tables_number 127
_symmetry_space_group_name_Hall '-P 4 2ab'
loop_
_atom_site_label
_atom_site_type_symbol
_atom_site_fract_x
_atom_site_fract_y
_atom_site_fract_z
_atom_site_occupancy
Sm1 Sm 0.180 0.320 0.000 1
Zn1 Zn 0.116 0.616 0.000 1
Sb1 Sb 0.000 0.000 0.000 1
Pd1 Pd 0.000 0.500 0.500 1
Pd2 Pd 0.067 0.789 0.500 1
```

=====

Record 4
This record from the Alexandria database describes a geometry-optimized Ba2Al3Cd4In structure. The functional is PBE.

Output
ΔE_f, eV per formula unit: -2.30

Structure (CIF):
```
data_Ba2Al3Cd4In
_chemical_formula_sum 'Ba2 Al3 Cd4 In1'
_cell_length_a 4.772
_cell_length_b 4.772
_cell_length_c 11.916
_cell_angle_alpha 90.00
_cell_angle_beta 90.00
_cell_angle_gamma 90.00
_symmetry_space_group_name_H-M 'P -4 m 2'
_symmetry_Int_Tables_number 115
loop_
_symmetry_equiv_pos_as_xyz
'x,y,z'
'y,-x,-z'
'-x,-y,z'
'-y,x,-z'
'-x,y,z'
'-y,-x,-z'
'x,-y,z'
'y,x,-z'
loop_
_atom_site_label
_atom_site_type_symbol
_atom_site_fract_x
_atom_site_fract_y
_atom_site_fract_z
_atom_site_occupancy
Ba1 Ba 0.000 0.500 0.245 1
Al1 Al 0.000 0.500 0.873 1
Al2 Al 0.500 0.500 0.500 1
Cd1 Cd 0.000 0.000 0.000 1
Cd2 Cd 0.000 0.500 0.642 1
Cd3 Cd 0.500 0.500 0.000 1
In1 In 0.000 0.000 0.500 1
```

=====

Record 5
This record from the Alexandria database describes a geometry-optimized Sn2RhAu2 structure. The functional is PBE.

Output
ΔE_f, eV per formula unit: 0.13

Structure (CIF):
```
data_Sn2RhAu2
_chemical_formula_sum 'Sn4 Rh2 Au4'
_cell_length_a 7.203
_cell_length_b 7.203
_cell_length_c 3.995
_cell_angle_alpha 90.00
_cell_angle_beta 90.00
_cell_angle_gamma 90.00
_symmetry_space_group_name_H-M 'P 4/m b m'
_symmetry_Int_Tables_number 127
_symmetry_space_group_name_Hall '-P 4 2ab'
loop_
_atom_site_label
_atom_site_type_symbol
_atom_site_fract_x
_atom_site_fract_y
_atom_site_fract_z
_atom_site_occupancy
Sn1 Sn 0.163 0.337 0.000 1
Rh1 Rh 0.000 0.000 0.000 1
Au1 Au 0.142 0.642 0.500 1
```

=====

Record 6
This record from the Alexandria database describes a geometry-optimized Li2HgRhCl6 structure. The functional is PBE.

Output
Formation energy from raw total energies, meV/atom: -967

Structure (CIF):
```
data_Li2HgRhCl6
_chemical_formula_sum 'Li6 Hg3 Rh3 Cl18'
_cell_length_a 6.4782
_cell_length_b 6.4782
_cell_length_c 18.0666
_cell_angle_alpha 90.00
_cell_angle_beta 90.00
_cell_angle_gamma 120.00
_symmetry_space_group_name_H-M 'R 3'
_symmetry_Int_Tables_number 146
_symmetry_space_group_name_Hall 'R 3'
loop_
_atom_site_label
_atom_site_type_symbol
_atom_site_fract_x
_atom_site_fract_y
_atom_site_fract_z
_atom_site_occupancy
Li1 Li 0.0000 0.0000 0.0000 1
Li2 Li 0.0000 0.0000 0.4773 1
Hg1 Hg 0.0000 0.0000 0.1880 1
Rh1 Rh 0.0000 0.0000 0.6740 1
Cl1 Cl 0.0112 0.3178 0.7480 1
Cl2 Cl 0.0238 0.7197 0.5935 1
```

=====

Record 7
This record from the Alexandria database describes a geometry-optimized CaBeRe2 structure. The functional is PBE.

Output
ΔE_f, eV per formula unit: 3.02

Structure (CIF):
```
data_CaBeRe2
_chemical_formula_sum 'Ca1 Be1 Re2'
_cell_length_a 3.774
_cell_length_b 3.774
_cell_length_c 4.551
_cell_angle_alpha 90.00
_cell_angle_beta 90.00
_cell_angle_gamma 90.00
_symmetry_space_group_name_H-M 'P 4/m m m'
_symmetry_Int_Tables_number 123
_symmetry_space_group_name_Hall '-P 4 2'
loop_
_atom_site_label
_atom_site_type_symbol
_atom_site_fract_x
_atom_site_fract_y
_atom_site_fract_z
_atom_site_occupancy
Ca1 Ca 0.000 0.000 0.000 1
Be1 Be 0.500 0.500 0.000 1
Re1 Re 0.000 0.500 0.500 1
```

=====

Record 8
This record from the Alexandria database describes a geometry-optimized CaOs2Au structure. The functional is PBE.

Output
ΔE_f, eV per formula unit: 2.71

Structure (CIF):
```
data_CaOs2Au
_chemical_formula_sum 'Ca1 Os2 Au1'
_cell_length_a 2.681
_cell_length_b 4.561
_cell_length_c 5.976
_cell_angle_alpha 90.00
_cell_angle_beta 90.00
_cell_angle_gamma 90.00
_symmetry_space_group_name_H-M 'P m m m'
_symmetry_Int_Tables_number 47
loop_
_symmetry_equiv_pos_as_xyz
'x,y,z'
'-x,-y,-z'
'-x,-y,z'
'x,y,-z'
'x,-y,-z'
'-x,y,z'
'-x,y,-z'
'x,-y,z'
loop_
_atom_site_label
_atom_site_type_symbol
_atom_site_fract_x
_atom_site_fract_y
_atom_site_fract_z
_atom_site_occupancy
Ca1 Ca 0.000 0.000 0.000 1
Os1 Os 0.500 0.500 0.296 1
Au1 Au 0.000 0.000 0.500 1
```

=====

Record 9
This record from the Alexandria database describes a geometry-optimized GaAs3Pt structure. The functional is PBE.

Output
ΔE_f, eV per formula unit: 2.90

Structure (CIF):
```
data_GaAs3Pt
_chemical_formula_sum 'Ga1 As3 Pt1'
_cell_length_a 4.978
_cell_length_b 4.978
_cell_length_c 4.978
_cell_angle_alpha 90.00
_cell_angle_beta 90.00
_cell_angle_gamma 90.00
_symmetry_space_group_name_H-M 'P m -3 m'
_symmetry_Int_Tables_number 221
_symmetry_space_group_name_Hall '-P 4 2 3'
loop_
_atom_site_label
_atom_site_type_symbol
_atom_site_fract_x
_atom_site_fract_y
_atom_site_fract_z
_atom_site_occupancy
Ga1 Ga 0.000 0.000 0.000 1
As1 As 0.000 0.500 0.500 1
Pt1 Pt 0.500 0.500 0.500 1
```

=====

Record 10
This record from the Alexandria database describes a geometry-optimized LaP2W structure. The functional is PBE.

Output
ΔE_f, eV per formula unit: -2.74

Structure (CIF):
```
data_LaP2W
_chemical_formula_sum 'La2 P4 W2'
_cell_length_a 6.952
_cell_length_b 3.712
_cell_length_c 6.468
_cell_angle_alpha 90.00
_cell_angle_beta 108.34
_cell_angle_gamma 90.00
_symmetry_space_group_name_H-M 'C 1 2/m 1'
_symmetry_Int_Tables_number 12
loop_
_symmetry_equiv_pos_as_xyz
'x,y,z'
'-x,-y,-z'
'-x,y,-z'
'x,-y,z'
'x+1/2,y+1/2,z'
'-x+1/2,-y+1/2,-z'
'-x+1/2,y+1/2,-z'
'x+1/2,-y+1/2,z'
loop_
_atom_site_label
_atom_site_type_symbol
_atom_site_fract_x
_atom_site_fract_y
_atom_site_fract_z
_atom_site_occupancy
La1 La 0.000 0.000 0.000 1
P1 P 0.236 0.000 0.695 1
W1 W 0.000 0.500 0.500 1
```

=====

Record 11
This record from the Alexandria database describes a geometry-optimized CeSmYEr structure. The functional is PBE.

Output
ΔE_f, eV per formula unit: 0.64

Structure (CIF):
```
data_CeSmYEr
_chemical_formula_sum 'Ce4 Sm4 Y4 Er4'
_cell_length_a 8.031
_cell_length_b 8.031
_cell_length_c 8.031
_cell_angle_alpha 90.00
_cell_angle_beta 90.00
_cell_angle_gamma 90.00
_symmetry_space_group_name_H-M 'F -4 3 m'
_symmetry_Int_Tables_number 216
_symmetry_space_group_name_Hall 'F -4 2 3'
loop_
_atom_site_label
_atom_site_type_symbol
_atom_site_fract_x
_atom_site_fract_y
_atom_site_fract_z
_atom_site_occupancy
Ce1 Ce 0.000 0.000 0.000 1
Sm1 Sm 0.000 0.000 0.500 1
Y1 Y 0.250 0.250 0.250 1
Er1 Er 0.250 0.250 0.750 1
```

=====

Record 12
This record from the Alexandria database describes a geometry-optimized Rb2TaIrCl6 structure. The functional is PBE.

Output
Formation energy from raw total energies, meV/atom: -923

Structure (CIF):
```
data_Rb2TaIrCl6
_chemical_formula_sum 'Rb4 Ta2 Ir2 Cl12'
_cell_length_a 8.190
_cell_length_b 8.190
_cell_length_c 9.094
_cell_angle_alpha 90.00
_cell_angle_beta 90.00
_cell_angle_gamma 90.00
_symmetry_space_group_name_H-M 'I 4/m m m'
_symmetry_Int_Tables_number 139
_symmetry_space_group_name_Hall '-I 4 2'
loop_
_atom_site_label
_atom_site_type_symbol
_atom_site_fract_x
_atom_site_fract_y
_atom_site_fract_z
_atom_site_occupancy
Rb1 Rb 0.000 0.500 0.250 1
Ta1 Ta 0.000 0.000 0.000 1
Ir1 Ir 0.000 0.000 0.500 1
Cl1 Cl 0.000 0.000 0.258 1
Cl2 Cl 0.211 0.211 0.000 1
```

=====

These records have calculated volume values of 19.507; 15.537; 18.751; 27.130; 20.725; 21.882; 16.204; 18.266; 24.671; 19.805; 32.368; 30.496 Å³ per atom, in the order they appear.
These records have DOS(E_F) values of 0.41; 0.24; 0.37; 0.59; 0.66; 0.43; 0.82; 0.83; 1.36; 0.59; 2.51; 0.22 states/eV/atom, in the order they appear.
These records have energy values of -0.2882; -0.4617; -0.3593; -0.1747; -0.3202; -0.2369; -0.5073; -0.4599; -0.2958; -0.5778; -0.3865; -0.3157 Ry/atom, in the order they appear.